Below is a relaxed structure of TaIn2Ni8, with properties calculated at the PBE level.

Cell: 8.2596 8.2596 4.0885 Å, 102.15 102.15 33.98°
Closest atoms and distances in Å follow each position.
Sites, in units of the cell vectors:
Ta1 0.0000 0.0000 0.0000  10 Ni 2.42-2.67
In1 0.2624 0.2624 0.7688  5 Ni 2.54-2.72
In2 0.7376 0.7376 0.2312  5 Ni 2.54-2.72
Ni1 0.1568 0.1568 0.1810  1 Ta 2.42, 4 Ni 2.57-2.58, 2 In 2.61-2.62
Ni2 0.1568 0.6609 0.3764  6 Ni 2.36-2.58, 1 Ta 2.62
Ni3 0.3391 0.8432 0.6236  6 Ni 2.36-2.58, 1 Ta 2.62
Ni4 0.4270 0.4270 0.8823  5 Ni 2.30-2.43, 1 In 2.54
Ni5 0.5730 0.5730 0.1177  5 Ni 2.30-2.43, 1 In 2.54
Ni6 0.6609 0.1568 0.3764  6 Ni 2.36-2.58, 1 Ta 2.62
Ni7 0.8432 0.3391 0.6236  6 Ni 2.36-2.58, 1 Ta 2.62
Ni8 0.8432 0.8432 0.8190  1 Ta 2.42, 4 Ni 2.57-2.58, 2 In 2.61-2.62

**Calculated total energy**: -5.827 eV per atom
**SG**: C2/m



Below is a relaxed structure of TaIn2Ni2, with properties calculated at the PBE level.

Cell: 7.2729 7.2729 3.0730 Å, 90.00 90.00 90.00°
Closest atoms and distances in Å follow each position.
Sites, in units of the cell vectors:
Ta1 0.0000 0.0000 0.0000  4 Ni 2.86, 2 Ta 3.07, 8 In 3.11
Ta2 0.5000 0.5000 0.0000  4 Ni 2.86, 2 Ta 3.07, 8 In 3.11
In1 0.1685 0.3315 0.5000  6 Ni 2.60-2.66
In2 0.3315 0.8315 0.5000  6 Ni 2.60-2.66
In3 0.6685 0.1685 0.5000  6 Ni 2.60-2.66
In4 0.8315 0.6685 0.5000  6 Ni 2.60-2.66
Ni1 0.1280 0.6280 0.0000  6 In 2.60-2.66, 1 Ni 2.63, 2 Ta 2.86
Ni2 0.3720 0.1280 0.0000  6 In 2.60-2.66, 1 Ni 2.63, 2 Ta 2.86
Ni3 0.6280 0.8720 0.0000  6 In 2.60-2.66, 1 Ni 2.63, 2 Ta 2.86
Ni4 0.8720 0.3720 0.0000  6 In 2.60-2.66, 1 Ni 2.63, 2 Ta 2.86

**Calculated total energy**: -5.701 eV per atom
**SG**: P4/mbm



Below is a relaxed structure of TaInNi4, with properties calculated at the PBE level.

Cell: 4.8293 4.8293 4.8293 Å, 60.00 60.00 60.00°
Closest atoms and distances in Å follow each position.
Sites, in units of the cell vectors:
Ta1 0.0000 0.0000 0.0000  12 Ni 2.83, 4 In 2.96
In1 0.2500 0.2500 0.2500  12 Ni 2.83, 4 Ta 2.96
Ni1 0.1231 0.6256 0.6256  6 Ni 2.40-2.43
Ni2 0.6256 0.1231 0.6256  6 Ni 2.40-2.43
Ni3 0.6256 0.6256 0.1231  6 Ni 2.40-2.43
Ni4 0.6256 0.6256 0.6256  6 Ni 2.40-2.43

**E above lowest polymorph**: 0.0 meV/atom
**SG**: F-43m